Here is a PBEsol-optimized structure of Ni7Pt5 from the Alexandria database. Energies are from meta-GGA SCAN.

Geometry as POSCAR:
```
Ni7Pt5
1.0
7.525 0.000 0.000
0.000 2.665 0.000
-2.797 0.000 7.451
Ni Pt
7 5
Cartesian
0.000 0.000 0.000 Ni
6.674 0.000 2.263 Ni
-1.946 0.000 5.188 Ni
1.121 1.332 1.766 Ni
-0.786 1.332 6.863 Ni
5.514 1.332 0.589 Ni
3.607 1.332 5.686 Ni
0.026 1.332 4.261 Pt
3.292 0.000 1.224 Pt
2.364 0.000 3.726 Pt
1.436 0.000 6.227 Pt
4.702 1.332 3.190 Pt
```

Space-group type: P2/m (10)
Distance to the lowest polymorph of the same formula: 6.3 kJ per mole of atoms
Electronic total energy: -465.3 eV/cell
ΔE_f: -0.09 eV/atom
Magnetization: 7.216 μB/f.u.

Here is a PBEsol-optimized structure of Ni7Pt5 from the Alexandria database. Energies are from meta-GGA SCAN.

Geometry as POSCAR:
```
Ni7Pt5
1.0
7.255 0.000 0.000
0.000 2.657 0.000
-0.073 0.000 7.809
Ni Pt
7 5
Cartesian
0.000 0.000 0.000 Ni
-0.023 0.000 5.114 Ni
1.857 1.328 3.882 Ni
3.605 0.000 5.092 Ni
3.681 0.000 2.651 Ni
5.345 1.328 3.873 Ni
5.451 1.328 1.324 Ni
1.724 1.328 6.384 Pt
1.833 1.328 1.346 Pt
3.728 0.000 0.008 Pt
5.494 1.328 6.402 Pt
7.159 0.000 2.643 Pt
```

Space-group type: Pm (6)
Distance to the lowest polymorph of the same formula: 3.4 kJ per mole of atoms
Electronic total energy: -465.6 eV/cell
ΔE_f: -0.12 eV/atom
Magnetization: 7.757 μB/f.u.

Here is a PBEsol-optimized structure of NiPt2 from the Alexandria database. Energies are from meta-GGA SCAN.

Geometry as POSCAR:
```
NiPt2
1.0
7.443 0.000 0.000
0.000 2.711 0.000
-0.005 0.000 8.112
Ni Pt
4 8
Cartesian
0.818 0.678 0.637 Ni
0.868 0.678 6.182 Ni
6.570 2.033 1.930 Ni
6.620 2.033 7.475 Ni
0.832 0.678 3.272 Pt
2.642 2.033 7.448 Pt
2.692 2.033 4.758 Pt
2.755 2.033 1.972 Pt
4.683 0.678 6.140 Pt
4.746 0.678 3.354 Pt
4.796 0.678 0.664 Pt
6.606 2.033 4.840 Pt
```

Space-group type: P2_1/m (11)
Electronic total energy: -627.4 eV/cell
ΔE_f: -0.10 eV/atom
Magnetization: 1.413 μB/f.u.

Here is a PBEsol-optimized structure of Ni7Pt5 from the Alexandria database. Energies are from meta-GGA SCAN.

Geometry as POSCAR:
```
Ni7Pt5
1.0
3.668 0.000 0.000
0.000 5.226 0.000
0.000 0.000 7.821
Ni Pt
7 5
Cartesian
0.000 0.000 0.000 Ni
0.000 2.613 2.549 Ni
0.000 2.613 5.271 Ni
1.834 1.313 1.248 Ni
1.834 1.313 6.573 Ni
1.834 3.914 1.248 Ni
1.834 3.914 6.573 Ni
0.000 0.000 2.465 Pt
0.000 0.000 5.356 Pt
0.000 2.613 0.000 Pt
1.834 1.338 3.910 Pt
1.834 3.888 3.910 Pt
```

Space-group type: Pmmm (47)
Distance to the lowest polymorph of the same formula: 3.6 kJ per mole of atoms
Electronic total energy: -465.6 eV/cell
ΔE_f: -0.12 eV/atom
Magnetization: 8.025 μB/f.u.

Here is a PBEsol-optimized structure of Ni3Pt2 from the Alexandria database. Energies are from meta-GGA SCAN.

Geometry as POSCAR:
```
Ni3Pt2
1.0
4.501 0.000 0.000
0.000 2.649 0.000
-1.352 0.000 10.508
Ni Pt
6 4
Cartesian
-0.334 0.662 4.313 Ni
0.483 1.987 8.237 Ni
1.180 0.662 6.214 Ni
1.969 1.987 4.294 Ni
2.666 0.662 2.271 Ni
3.483 1.987 6.195 Ni
0.426 1.987 2.299 Pt
-0.215 0.662 10.458 Pt
3.364 1.987 0.050 Pt
2.723 0.662 8.209 Pt
```

Space-group type: P2_1/m (11)
Distance to the lowest polymorph of the same formula: 6.1 kJ per mole of atoms
Electronic total energy: -378.5 eV/cell
ΔE_f: -0.06 eV/atom
Magnetization: 3.040 μB/f.u.

Here is a PBEsol-optimized structure of NiPt2 from the Alexandria database. Energies are from meta-GGA SCAN.

Geometry as POSCAR:
```
NiPt2
1.0
7.249 0.000 0.000
-3.625 6.278 0.000
0.000 0.000 2.700
Ni Pt
3 6
Cartesian
0.000 0.000 0.000 Ni
0.000 4.185 1.350 Ni
3.625 2.093 1.350 Ni
-1.334 2.311 0.000 Pt
-2.547 4.411 1.350 Pt
1.078 1.867 1.350 Pt
2.668 0.000 0.000 Pt
2.291 3.968 0.000 Pt
5.093 0.000 1.350 Pt
```

Space-group type: P-62m (189)
Electronic total energy: -469.8 eV/cell
ΔE_f: -0.02 eV/atom
Magnetization: 1.784 μB/f.u.

Here is a PBEsol-optimized structure of NiPt from the Alexandria database. Energies are from meta-GGA SCAN.

Geometry as POSCAR:
```
NiPt
1.0
3.729 0.000 0.000
0.000 7.871 0.000
0.000 0.000 5.255
Ni Pt
6 6
Cartesian
0.000 0.044 0.000 Ni
0.000 2.558 5.184 Ni
0.000 5.313 2.556 Ni
0.000 7.827 2.627 Ni
1.864 1.280 1.251 Ni
1.864 6.591 3.879 Ni
0.000 2.524 2.521 Pt
0.000 5.346 5.149 Pt
1.864 1.207 3.942 Pt
1.864 3.902 1.210 Pt
1.864 3.969 3.837 Pt
1.864 6.664 1.315 Pt
```

Space-group type: Pmc2_1 (26)
Electronic total energy: -519.9 eV/cell
ΔE_f: -0.14 eV/atom
Magnetization: 1.198 μB/f.u.

Here is a PBEsol-optimized structure of NiPt3 from the Alexandria database. Energies are from meta-GGA SCAN.

Geometry as POSCAR:
```
NiPt3
1.0
3.822 0.000 0.000
0.000 3.822 0.000
0.000 0.000 3.822
Ni Pt
1 3
Cartesian
0.000 0.000 0.000 Ni
0.000 1.911 1.911 Pt
1.911 0.000 1.911 Pt
1.911 1.911 0.000 Pt
```

Space-group type: Pm-3m (221)
Electronic total energy: -227.1 eV/cell
ΔE_f: -0.09 eV/atom
Magnetization: 1.560 μB/f.u.

Here is a PBEsol-optimized structure of Ni3Pt2 from the Alexandria database. Energies are from meta-GGA SCAN.

Geometry as POSCAR:
```
Ni3Pt2
1.0
4.515 0.000 0.000
-1.544 5.012 0.000
-0.696 -1.597 5.485
Ni Pt
6 4
Cartesian
-0.386 1.930 1.161 Ni
-0.346 3.253 3.258 Ni
0.409 0.849 3.269 Ni
1.867 2.566 2.216 Ni
2.622 0.161 2.227 Ni
2.662 1.485 4.324 Ni
-1.195 4.425 1.208 Pt
0.360 2.131 5.468 Pt
1.916 1.284 0.017 Pt
3.470 -1.010 4.277 Pt
```

Space-group type: P-1 (2)
Distance to the lowest polymorph of the same formula: 1.4 kJ per mole of atoms
Electronic total energy: -378.9 eV/cell
ΔE_f: -0.11 eV/atom
Magnetization: 3.301 μB/f.u.

Here is a PBEsol-optimized structure of RbZrNiPt2 from the Alexandria database. Energies are from meta-GGA SCAN.

Geometry as POSCAR:
```
RbZrNiPt2
1.0
4.884 0.000 0.000
0.000 4.884 0.000
0.000 0.000 4.427
Rb Zr Ni Pt
1 1 1 2
Cartesian
0.000 0.000 0.000 Rb
2.442 2.442 0.000 Zr
2.442 2.442 2.214 Ni
0.000 2.442 2.214 Pt
2.442 0.000 2.214 Pt
```

Space-group type: P4/mmm (123)
Electronic total energy: -206.4 eV/cell
ΔE_f: 0.33 eV/atom
Magnetization: 0.000 μB/f.u.

Here is a PBEsol-optimized structure of ReNiPt2 from the Alexandria database. Energies are from meta-GGA SCAN.

Geometry as POSCAR:
```
ReNiPt2
1.0
4.439 -1.347 0.000
4.439 1.347 0.000
-0.816 0.000 4.610
Re Ni Pt
1 1 2
Cartesian
0.000 0.000 0.000 Re
6.384 0.000 1.135 Ni
1.582 0.000 3.551 Pt
3.968 0.000 2.235 Pt
```

Space-group type: Cm (8)
Distance to the lowest polymorph of the same formula: 2.6 kJ per mole of atoms
Electronic total energy: -228.1 eV/cell
ΔE_f: -0.11 eV/atom
Magnetization: 0.001 μB/f.u.

Here is a PBEsol-optimized structure of ReNiPt2 from the Alexandria database. Energies are from meta-GGA SCAN.

Geometry as POSCAR:
```
ReNiPt2
1.0
-1.879 1.879 3.867
1.879 -1.879 3.867
1.879 1.879 -3.867
Re Ni Pt
1 1 2
Cartesian
0.000 0.000 0.000 Re
0.000 0.000 3.867 Ni
1.879 0.000 1.934 Pt
0.000 1.879 1.934 Pt
```

Space-group type: I4/mmm (139)
Distance to the lowest polymorph of the same formula: 4.3 kJ per mole of atoms
Electronic total energy: -228.0 eV/cell
ΔE_f: -0.09 eV/atom
Magnetization: 0.000 μB/f.u.

Here is a PBEsol-optimized structure of ReNiPt2 from the Alexandria database. Energies are from meta-GGA SCAN.

Geometry as POSCAR:
```
ReNiPt2
1.0
4.458 -1.348 0.000
4.458 1.348 0.000
-0.800 0.000 4.576
Re Ni Pt
1 1 2
Cartesian
0.000 0.000 0.000 Re
4.058 0.000 2.288 Ni
1.621 0.000 3.431 Pt
6.496 0.000 1.145 Pt
```

Space-group type: C2/m (12)
Distance to the lowest polymorph of the same formula: 9.8 kJ per mole of atoms
Electronic total energy: -227.8 eV/cell
ΔE_f: -0.04 eV/atom
Magnetization: 0.000 μB/f.u.

Here is a PBEsol-optimized structure of ReNiPt2 from the Alexandria database. Energies are from meta-GGA SCAN.

Geometry as POSCAR:
```
ReNiPt2
1.0
2.699 0.000 0.000
0.000 2.699 0.000
0.000 0.000 7.518
Re Ni Pt
1 1 2
Cartesian
0.000 0.000 0.000 Re
1.350 1.350 1.685 Ni
0.000 0.000 3.486 Pt
1.350 1.350 5.581 Pt
```

Space-group type: P4mm (99)
Distance to the lowest polymorph of the same formula: 3.2 kJ per mole of atoms
Electronic total energy: -228.1 eV/cell
ΔE_f: -0.11 eV/atom
Magnetization: 0.000 μB/f.u.

Here is a PBEsol-optimized structure of ReNiPt2 from the Alexandria database. Energies are from meta-GGA SCAN.

Geometry as POSCAR:
```
ReNiPt2
1.0
2.705 0.000 0.000
0.000 2.705 0.000
0.000 0.000 7.495
Re Ni Pt
1 1 2
Cartesian
0.000 0.000 0.000 Re
0.000 0.000 3.748 Ni
1.353 1.353 1.927 Pt
1.353 1.353 5.569 Pt
```

Space-group type: P4/mmm (123)
Distance to the lowest polymorph of the same formula: 0.0 kJ per mole of atoms
Electronic total energy: -228.2 eV/cell
ΔE_f: -0.14 eV/atom
Magnetization: 0.744 μB/f.u.

Here is a PBEsol-optimized structure of ReNiPt2 from the Alexandria database. Energies are from meta-GGA SCAN.

Geometry as POSCAR:
```
ReNiPt2
1.0
2.687 0.000 0.000
0.000 4.351 0.000
0.000 0.000 4.725
Re Ni Pt
1 1 2
Cartesian
0.000 0.000 0.000 Re
0.000 2.176 3.265 Ni
1.344 0.000 2.437 Pt
1.344 2.176 0.840 Pt
```

Space-group type: Pmm2 (25)
Distance to the lowest polymorph of the same formula: 5.1 kJ per mole of atoms
Electronic total energy: -228.0 eV/cell
ΔE_f: -0.09 eV/atom
Magnetization: 1.044 μB/f.u.

Here is a PBEsol-optimized structure of ReNiPt2 from the Alexandria database. Energies are from meta-GGA SCAN.

Geometry as POSCAR:
```
ReNiPt2
1.0
2.710 0.000 0.000
0.000 3.836 0.000
0.000 0.000 5.280
Re Ni Pt
1 1 2
Cartesian
0.000 0.000 0.000 Re
0.000 0.000 2.640 Ni
1.355 1.918 1.327 Pt
1.355 1.918 3.953 Pt
```

Space-group type: Pmmm (47)
Distance to the lowest polymorph of the same formula: 2.1 kJ per mole of atoms
Electronic total energy: -228.1 eV/cell
ΔE_f: -0.12 eV/atom
Magnetization: 0.000 μB/f.u.

Here is a PBEsol-optimized structure of Ni4PtRh from the Alexandria database. Energies are from meta-GGA SCAN.

Geometry as POSCAR:
```
Ni4PtRh
1.0
0.000 3.278 3.278
3.278 0.000 3.278
3.278 3.278 0.000
Ni Pt Rh
4 1 1
Cartesian
0.819 0.819 0.819 Ni
2.459 2.459 0.819 Ni
2.459 0.819 2.459 Ni
0.819 2.459 2.459 Ni
3.278 3.278 3.278 Pt
4.917 4.917 4.917 Rh
```

Space-group type: F-43m (216)
Electronic total energy: -168.4 eV/cell
ΔE_f: 0.05 eV/atom
Magnetization: 4.513 μB/f.u.

Here is a PBEsol-optimized structure of Ni6PtRh from the Alexandria database. Energies are from meta-GGA SCAN.

Geometry as POSCAR:
```
Ni6PtRh
1.0
3.582 -5.062 0.000
3.582 5.062 0.000
0.000 0.000 10.114
Ni Pt Rh
24 4 4
Cartesian
0.000 0.000 0.000 Ni
0.000 0.000 5.057 Ni
1.780 1.272 1.251 Ni
1.780 1.272 8.863 Ni
1.781 1.260 3.779 Ni
1.781 1.260 6.335 Ni
3.582 2.546 2.505 Ni
3.582 2.546 7.609 Ni
1.781 -1.260 3.779 Ni
1.781 -1.260 6.335 Ni
1.780 -1.272 1.251 Ni
1.780 -1.272 8.863 Ni
3.582 0.000 0.000 Ni
3.582 0.000 5.057 Ni
5.385 1.272 1.251 Ni
5.385 1.272 8.863 Ni
5.384 1.260 3.779 Ni
5.384 1.260 6.335 Ni
3.582 -2.546 2.505 Ni
3.582 -2.546 7.609 Ni
5.384 -1.260 3.779 Ni
5.384 -1.260 6.335 Ni
5.385 -1.272 1.251 Ni
5.385 -1.272 8.863 Ni
3.582 2.533 5.057 Pt
3.582 0.000 2.519 Pt
3.582 0.000 7.595 Pt
3.582 -2.533 5.057 Pt
0.000 0.000 2.523 Rh
0.000 0.000 7.591 Rh
3.582 2.536 0.000 Rh
3.582 -2.536 0.000 Rh
```

Space-group type: Cmmm (65)
Electronic total energy: -805.7 eV/cell
ΔE_f: -0.05 eV/atom
Magnetization: 6.473 μB/f.u.

Here is a PBEsol-optimized structure of Ni2PtRhS from the Alexandria database. Energies are from meta-GGA SCAN.

Geometry as POSCAR:
```
Ni2PtRhS
1.0
4.482 0.000 0.000
0.000 4.482 0.000
0.000 0.000 4.168
Ni Pt Rh S
2 1 1 1
Cartesian
0.000 2.241 0.000 Ni
2.241 0.000 0.000 Ni
0.000 0.000 2.084 Pt
2.241 2.241 0.000 Rh
2.241 2.241 2.084 S
```

Space-group type: P4/mmm (123)
Uncorrected formation energy: 1.07 eV per atom
Electronic total energy: -140.6 eV/cell
Magnetization: 2.749 μB/f.u.

Here is a PBEsol-optimized structure of Ni2RuPt from the Alexandria database. Energies are from meta-GGA SCAN.

Geometry as POSCAR:
```
Ni2RuPt
1.0
2.649 0.000 0.000
0.000 2.649 0.000
0.000 0.000 7.013
Ni Ru Pt
2 1 1
Cartesian
0.000 0.000 0.000 Ni
1.325 1.325 1.573 Ni
1.325 1.325 5.348 Ru
0.000 0.000 3.398 Pt
```

Space-group type: P4mm (99)
Distance to the lowest polymorph of the same formula: 3.6 kJ per mole of atoms
Electronic total energy: -137.2 eV/cell
ΔE_f: 0.05 eV/atom
Magnetization: 0.917 μB/f.u.

Here is a PBEsol-optimized structure of Ni2RuPt from the Alexandria database. Energies are from meta-GGA SCAN.

Geometry as POSCAR:
```
Ni2RuPt
1.0
0.000 2.908 2.908
2.908 0.000 2.908
2.908 2.908 0.000
Ni Ru Pt
2 1 1
Cartesian
1.454 1.454 1.454 Ni
4.362 4.362 4.362 Ni
0.000 0.000 0.000 Ru
2.908 2.908 2.908 Pt
```

Space-group type: Fm-3m (225)
Distance to the lowest polymorph of the same formula: 11.4 kJ per mole of atoms
Electronic total energy: -136.8 eV/cell
ΔE_f: 0.13 eV/atom
Magnetization: 0.003 μB/f.u.

Here is a PBEsol-optimized structure of Ni2RuPt from the Alexandria database. Energies are from meta-GGA SCAN.

Geometry as POSCAR:
```
Ni2RuPt
1.0
3.939 0.000 0.000
0.000 1.296 4.827
0.000 -1.296 4.827
Ni Ru Pt
2 1 1
Cartesian
0.000 0.000 0.000 Ni
1.970 0.000 1.267 Ni
0.000 0.000 7.114 Ru
1.970 0.000 3.744 Pt
```

Space-group type: Amm2 (38)
Distance to the lowest polymorph of the same formula: 6.7 kJ per mole of atoms
Electronic total energy: -137.0 eV/cell
ΔE_f: 0.08 eV/atom
Magnetization: 3.118 μB/f.u.

Here is a PBEsol-optimized structure of Ni2RuPt from the Alexandria database. Energies are from meta-GGA SCAN.

Geometry as POSCAR:
```
Ni2RuPt
1.0
3.735 0.000 0.000
0.000 3.735 0.000
0.000 0.000 3.532
Ni Ru Pt
2 1 1
Cartesian
0.000 1.867 0.000 Ni
1.867 0.000 0.000 Ni
0.000 0.000 1.766 Ru
1.867 1.867 1.766 Pt
```

Space-group type: P4/mmm (123)
Distance to the lowest polymorph of the same formula: 6.9 kJ per mole of atoms
Electronic total energy: -137.0 eV/cell
ΔE_f: 0.09 eV/atom
Magnetization: 0.005 μB/f.u.

Here is a PBEsol-optimized structure of Ni2RuPt from the Alexandria database. Energies are from meta-GGA SCAN.

Geometry as POSCAR:
```
Ni2RuPt
1.0
2.627 0.000 0.000
0.000 3.542 0.000
0.000 0.000 5.295
Ni Ru Pt
2 1 1
Cartesian
0.000 0.000 1.258 Ni
0.000 0.000 4.037 Ni
1.313 1.771 0.000 Ru
1.313 1.771 2.647 Pt
```

Space-group type: Pmmm (47)
Distance to the lowest polymorph of the same formula: 2.2 kJ per mole of atoms
Electronic total energy: -137.2 eV/cell
ΔE_f: 0.04 eV/atom
Magnetization: 0.000 μB/f.u.